# 1
# KAgRu (GGA-PBE, relaxed)
data_KAgRu
_space_group_name_H-M_alt 'F -4 3 m'
_space_group_IT_number 216
_space_group_name_Hall 'F -4 2 3'
_cell_length_a 6.9217
_cell_length_b 6.9217
_cell_length_c 6.9217
_cell_angle_alpha 90.00
_cell_angle_beta 90.00
_cell_angle_gamma 90.00
loop_
_atom_site_label
_atom_site_type_symbol
_atom_site_fract_x
_atom_site_fract_y
_atom_site_fract_z
K1 K 0.0000 0.0000 0.0000
Ag1 Ag 0.2500 0.2500 0.7500
Ru1 Ru 0.2500 0.2500 0.2500
# excess energy over the best structure of this formula in the dataset = 3.23 eV per formula unit
# electronic total energy = -30.508 eV per cell
# density of states at the Fermi level = 4.9 states/eV/f.u.
# energy relative to the elements = 1.87 eV/atom
# total moment = 1.98 μB per formula unit

---

# 2
# BaPm2S4 (GGA-PBE, relaxed)
data_BaPm2S4
_space_group_name_H-M_alt 'P n m a'
_space_group_IT_number 62
_cell_length_a 12.4252
_cell_length_b 4.1704
_cell_length_c 14.8885
_cell_angle_alpha 90.00
_cell_angle_beta 90.00
_cell_angle_gamma 90.00
loop_
_space_group_symop_operation_xyz
'x,y,z'
'-x,-y,-z'
'-x+1/2,-y,z+1/2'
'x+1/2,y,-z+1/2'
'x+1/2,-y+1/2,-z+1/2'
'-x+1/2,y+1/2,z+1/2'
'-x,y+1/2,-z'
'x,-y+1/2,z'
loop_
_atom_site_label
_atom_site_type_symbol
_atom_site_fract_x
_atom_site_fract_y
_atom_site_fract_z
Ba1 Ba 0.2450 0.2500 0.1597
Pm1 Pm 0.0742 0.2500 0.3922
Pm2 Pm 0.0769 0.2500 0.8963
S1 S 0.0185 0.7500 0.7827
S2 S 0.0786 0.2500 0.5794
S3 S 0.1293 0.7500 0.0221
S4 S 0.2097 0.7500 0.3279
# excess energy over the best structure of this formula in the dataset = 0.00 eV per formula unit
# formation energy without anion corrections = -2.1110 eV/atom
# electronic total energy = -170.844 eV per cell
# density of states at the Fermi level = 0.0 states/eV/f.u.
# total moment = 0.00 μB per formula unit

---

# 3
# NaHfTl (GGA-PBE, relaxed)
data_NaHfTl
_space_group_name_H-M_alt 'P 1'
_space_group_IT_number 1
_cell_length_a 3.3422
_cell_length_b 3.3428
_cell_length_c 16.2095
_cell_angle_alpha 84.19
_cell_angle_beta 84.13
_cell_angle_gamma 60.01
loop_
_space_group_symop_operation_xyz
'x,y,z'
loop_
_atom_site_label
_atom_site_type_symbol
_atom_site_fract_x
_atom_site_fract_y
_atom_site_fract_z
Na1 Na 0.0000 0.0000 0.0000
Na2 Na 0.2662 0.2598 0.1936
Hf1 Hf 0.1581 0.1531 0.5249
Hf2 Hf 0.4433 0.4400 0.6690
Tl1 Tl 0.7225 0.7215 0.8313
Tl2 Tl 0.8791 0.8711 0.3624
# excess energy over the best structure of this formula in the dataset = 0.11 eV per formula unit
# electronic total energy = -27.131 eV per cell
# density of states at the Fermi level = 1.6 states/eV/f.u.
# energy relative to the elements = 0.02 eV/atom
# total moment = 0.00 μB per formula unit

---

# 4
# ZnPdRh (GGA-PBE, relaxed)
data_ZnPdRh
_space_group_name_H-M_alt 'C 1 2/c 1'
_space_group_IT_number 15
_cell_length_a 4.7208
_cell_length_b 8.2125
_cell_length_c 4.7477
_cell_angle_alpha 90.00
_cell_angle_beta 108.97
_cell_angle_gamma 90.00
loop_
_space_group_symop_operation_xyz
'x,y,z'
'-x,-y,-z'
'-x,y,-z+1/2'
'x,-y,z+1/2'
'x+1/2,y+1/2,z'
'-x+1/2,-y+1/2,-z'
'-x+1/2,y+1/2,-z+1/2'
'x+1/2,-y+1/2,z+1/2'
loop_
_atom_site_label
_atom_site_type_symbol
_atom_site_fract_x
_atom_site_fract_y
_atom_site_fract_z
Zn1 Zn 0.0000 0.0911 0.2500
Pd1 Pd 0.0000 0.2428 0.7500
Rh1 Rh 0.0000 0.4258 0.2500
# excess energy over the best structure of this formula in the dataset = 0.10 eV per formula unit
# electronic total energy = -58.022 eV per cell
# density of states at the Fermi level = 3.5 states/eV/f.u.
# energy relative to the elements = -0.23 eV/atom
# total moment = 0.00 μB per formula unit

---

Question: Which formula does entry 2 have?
Answer: BaPm2S4